No. 1
The following is a GGA-PBE calculation of a relaxed MgUNi5As2 crystal, from the Alexandria database.

Lattice parameters (Å, degrees): 3.8203 3.8203 8.9197 90.00 90.00 90.00
Last column: nearest neighbours and their distance in Å.
Element x y z (fractional)
Mg 0.0000 0.0000 0.0000  12 Ni 2.59-2.70
U 0.0000 0.0000 0.5000  8 As 3.04, 8 Ni 3.31
Ni 0.0000 0.5000 0.1967  2 As 2.32, 2 Ni 2.59, 2 Mg 2.59
Ni 0.0000 0.5000 0.8033  2 As 2.32, 2 Ni 2.59, 2 Mg 2.59
Ni 0.5000 0.0000 0.1967  2 As 2.32, 2 Ni 2.59, 2 Mg 2.59
Ni 0.5000 0.0000 0.8033  2 As 2.32, 2 Ni 2.59, 2 Mg 2.59
Ni 0.5000 0.5000 0.0000  8 Ni 2.59, 4 Mg 2.70
As 0.5000 0.5000 0.3439  4 Ni 2.32
As 0.5000 0.5000 0.6561  4 Ni 2.32

Values from the calculation:
- Fermi-level density of states (states/eV per atom) = 1.196
- energy (eV/atom) = -5.994
- energy relative to the elements (eV/atom) = -0.32

=====

No. 2
The following is a GGA-PBE calculation of a relaxed MgNi2AsW crystal, from the Alexandria database.

Lattice parameters (Å, degrees): 4.2710 4.2710 4.7445 90.00 90.00 90.00
Last column: nearest neighbours and their distance in Å.
Element x y z (fractional)
Mg 0.0000 0.0000 0.0000  2 As 2.37
Ni 0.0000 0.5000 0.5000  2 As 2.14
Ni 0.5000 0.0000 0.5000  2 As 2.14
As 0.0000 0.0000 0.5000  4 Ni 2.14, 2 Mg 2.37
W 0.5000 0.5000 0.0000  4 Mg 3.02, 8 Ni 3.19

Values from the calculation:
- Fermi-level density of states (states/eV per atom) = 0.995
- energy (eV/atom) = -5.078
- energy relative to the elements (eV/atom) = 1.07

=====

No. 3
The following is a GGA-PBE calculation of a relaxed Mg3ZnNi9As2 crystal, from the Alexandria database.

Lattice parameters (Å, degrees): 5.9275 5.9275 8.3671 90.00 90.00 120.00
Last column: nearest neighbours and their distance in Å.
Element x y z (fractional)
Mg 0.0000 0.0000 0.0000  6 Ni 2.54
Mg 0.3333 0.6667 0.7391  9 Ni 2.77-2.99
Mg 0.6667 0.3333 0.2609  9 Ni 2.77-2.99
Zn 0.0000 0.0000 0.5000  6 Ni 2.43
Ni 0.0000 0.5000 0.0000  2 As 2.30
Ni 0.1311 0.2622 0.2581  1 As 2.17, 2 Ni 2.33
Ni 0.1311 0.8689 0.2581  1 As 2.17, 2 Ni 2.33
Ni 0.2622 0.1311 0.7419  1 As 2.17, 2 Ni 2.33
Ni 0.5000 0.0000 0.0000  2 As 2.30
Ni 0.5000 0.5000 0.0000  2 As 2.30
Ni 0.7378 0.8689 0.2581  1 As 2.17, 2 Ni 2.33
Ni 0.8689 0.1311 0.7419  1 As 2.17, 2 Ni 2.33
Ni 0.8689 0.7378 0.7419  1 As 2.17, 2 Ni 2.33
As 0.3333 0.6667 0.1844  6 Ni 2.17-2.30
As 0.6667 0.3333 0.8156  6 Ni 2.17-2.30

Values from the calculation:
- Fermi-level density of states (states/eV per atom) = 0.809
- energy (eV/atom) = -4.443
- energy relative to the elements (eV/atom) = 0.05

=====

Number 1: spin magnetization 0.349 μB per atom. Number 2: spin magnetization 0.259 μB per atom. Number 3: spin magnetization 0.000 μB per atom.